A plane-wave DFT calculation with PBE-GGA was carried out for crystalline ZrCo2GeH at its relaxed geometry.

```
5
Lattice="3.858 0.000 0.000 0.000 3.858 0.000 0.000 0.000 3.983" Properties=species:S:1:pos:R:3 pbc="T T T"
Co 0.000 1.929 0.000
Co 1.929 0.000 0.000
Zr 0.000 0.000 1.991
H 0.000 0.000 0.000
Ge 1.929 1.929 1.991
```

## Properties
As for the crystal system: tetragonal. As for the total energy: -6.36 eV/atom. The space-group type is P4/mmm. The density of states at the Fermi level is 4.34 states/eV/cell.